(1)
First-principles (GGA-PBEsol) data for a relaxed Hg2OsPb crystal, as listed in Alexandria via LeMat-Bulk.

a = 3.2929 Å, b = 4.8905 Å, c = 5.4082 Å
α = 90.00°, β = 106.27°, γ = 90.00°
Space group P2/m (No. 10)
One atom of each set of equivalent atoms:
1 Hg 0.1351 0.0000 0.2738 x2
2 Os 0.5000 0.5000 0.5000 x1
3 Pb 0.5000 0.5000 0.0000 x1

Results
ΔE_f = 3.0 eV per formula unit
volume = 83.6 Å³/cell


(2)
First-principles (GGA-PBEsol) data for a relaxed CeMgAg2 crystal, as listed in Alexandria via LeMat-Bulk.

a = 7.0141 Å, b = 7.0141 Å, c = 7.0141 Å
α = 90.00°, β = 90.00°, γ = 90.00°
Space group Fm-3m (No. 225)
One atom of each set of equivalent atoms:
1 Ce 0.0000 0.0000 0.0000 x4
2 Mg 0.0000 0.0000 0.5000 x4
3 Ag 0.2500 0.2500 0.2500 x8

Results
ΔE_f = -0.5 eV per formula unit
volume = 345.1 Å³/cell


(3)
First-principles (GGA-PBEsol) data for a relaxed MnTcAs2 crystal, as listed in Alexandria via LeMat-Bulk.

a = 5.9497 Å, b = 5.9497 Å, c = 5.9497 Å
α = 90.00°, β = 90.00°, γ = 90.00°
Space group Fm-3m (No. 225)
One atom of each set of equivalent atoms:
1 Mn 0.0000 0.0000 0.0000 x4
2 Tc 0.0000 0.0000 0.5000 x4
3 As 0.2500 0.2500 0.2500 x8

Results
ΔE_f = -0.2 eV per formula unit
volume = 210.6 Å³/cell


(4)
First-principles (GGA-PBEsol) data for a relaxed SbI2ClF crystal, as listed in Alexandria via LeMat-Bulk.

a = 5.7501 Å, b = 5.7501 Å, c = 4.1947 Å
α = 90.00°, β = 90.00°, γ = 90.00°
Space group P4/mmm (No. 123)
One atom of each set of equivalent atoms:
1 Sb 0.0000 0.0000 0.0000 x1
2 I 0.0000 0.5000 0.5000 x2
3 Cl 0.5000 0.5000 0.0000 x1
4 F 0.0000 0.0000 0.5000 x1

Results
volume = 138.7 Å³/cell
formation energy from raw total energies = -0.136 eV/atom


(5)
First-principles (GGA-PBEsol) data for a relaxed SiAgF3 crystal, as listed in Alexandria via LeMat-Bulk.

a = 4.1142 Å, b = 4.1142 Å, c = 4.1142 Å
α = 90.00°, β = 90.00°, γ = 90.00°
Space group Pm-3m (No. 221)
One atom of each set of equivalent atoms:
1 Si 0.0000 0.0000 0.0000 x1
2 Ag 0.5000 0.5000 0.5000 x1
3 F 0.0000 0.0000 0.5000 x3

Results
volume = 69.6 Å³/cell
formation energy from raw total energies = -1.348 eV/atom


(6)
First-principles (GGA-PBEsol) data for a relaxed TiRuS2N crystal, as listed in Alexandria via LeMat-Bulk.

a = 4.7106 Å, b = 4.7106 Å, c = 3.5835 Å
α = 90.00°, β = 90.00°, γ = 90.00°
Space group P4/mmm (No. 123)
One atom of each set of equivalent atoms:
1 Ti 0.0000 0.0000 0.0000 x1
2 Ru 0.5000 0.5000 0.5000 x1
3 S 0.0000 0.5000 0.5000 x2
4 N 0.5000 0.5000 0.0000 x1

Results
excess energy over the best structure of this formula in the dataset = 0.00 kJ per mole of atoms
volume = 79.5 Å³/cell
formation energy from raw total energies = 0.107 eV/atom


(7)
First-principles (GGA-PBEsol) data for a relaxed GeSbTe3 crystal, as listed in Alexandria via LeMat-Bulk.

a = 4.0775 Å, b = 4.0775 Å, c = 30.1008 Å
α = 90.00°, β = 90.00°, γ = 120.00°
Space group R3m (No. 160, hexagonal axes)
One atom of each set of equivalent atoms:
1 Ge 0.0000 0.0000 0.0000 x3
2 Sb 0.0000 0.0000 0.2029 x3
3 Te 0.0000 0.0000 0.3839 x3
4 Te 0.0000 0.0000 0.6018 x3
5 Te 0.0000 0.0000 0.8086 x3

Results
volume = 433.4 Å³/cell
formation energy from raw total energies = -0.076 eV/atom


(8)
First-principles (GGA-PBEsol) data for a relaxed Rb2TiZnAg crystal, as listed in Alexandria via LeMat-Bulk.

a = 6.4652 Å, b = 6.4652 Å, c = 4.8327 Å
α = 90.00°, β = 90.00°, γ = 90.00°
Space group P4/mmm (No. 123)
One atom of each set of equivalent atoms:
1 Rb 0.0000 0.5000 0.0000 x2
2 Ti 0.0000 0.0000 0.5000 x1
3 Zn 0.5000 0.5000 0.0000 x1
4 Ag 0.5000 0.5000 0.5000 x1

Results
ΔE_f = 5.1 eV per formula unit
volume = 202.0 Å³/cell


(9)
First-principles (GGA-PBEsol) data for a relaxed Sr2MoPt crystal, as listed in Alexandria via LeMat-Bulk.

a = 3.8123 Å, b = 3.8123 Å, c = 6.8695 Å
α = 90.00°, β = 90.00°, γ = 90.00°
Space group P4/mmm (No. 123)
One atom of each set of equivalent atoms:
1 Sr 0.0000 0.0000 0.2327 x2
2 Mo 0.5000 0.5000 0.5000 x1
3 Pt 0.5000 0.5000 0.0000 x1

Results
excess energy over the best structure of this formula in the dataset = 21.17 kJ per mole of atoms
ΔE_f = 2.1 eV per formula unit
volume = 99.8 Å³/cell


(10)
First-principles (GGA-PBEsol) data for a relaxed Sb3NCl crystal, as listed in Alexandria via LeMat-Bulk.

a = 5.2796 Å, b = 5.2796 Å, c = 5.2796 Å
α = 90.00°, β = 90.00°, γ = 90.00°
Space group Pm-3m (No. 221)
One atom of each set of equivalent atoms:
1 Sb 0.0000 0.0000 0.5000 x3
2 N 0.5000 0.5000 0.5000 x1
3 Cl 0.0000 0.0000 0.0000 x1

Results
volume = 147.2 Å³/cell
formation energy from raw total energies = 1.813 eV/atom


(11)
First-principles (GGA-PBEsol) data for a relaxed CaTl3 crystal, as listed in Alexandria via LeMat-Bulk.

a = 10.5506 Å, b = 10.5506 Å, c = 3.4913 Å
α = 90.00°, β = 90.00°, γ = 120.00°
Space group R-3m (No. 166, hexagonal axes)
One atom of each set of equivalent atoms:
1 Ca 0.0000 0.0000 0.0000 x3
2 Tl 0.0000 0.5000 0.0000 x9

Results
ΔE_f = -0.8 eV per formula unit
volume = 336.6 Å³/cell


(12)
First-principles (GGA-PBEsol) data for a relaxed FeCuPt3 crystal, as listed in Alexandria via LeMat-Bulk.

a = 4.4842 Å, b = 4.4842 Å, c = 4.4842 Å
α = 90.00°, β = 90.00°, γ = 90.00°
Space group Pm-3m (No. 221)
One atom of each set of equivalent atoms:
1 Fe 0.0000 0.0000 0.0000 x1
2 Cu 0.5000 0.5000 0.5000 x1
3 Pt 0.0000 0.0000 0.5000 x3

Results
excess energy over the best structure of this formula in the dataset = 0.00 kJ per mole of atoms
ΔE_f = 5.9 eV per formula unit
volume = 90.2 Å³/cell